Material: LiAg2H2
Method: DFT, SCAN
State: PBEsol geometry

The calculation puts the electronic total energy at -14.3866 eV per atom. As for the density of states at the Fermi level: 0.979 states/eV per cell. As for the total moment: 0.00 μB/cell.

The space group is P4/mbm (No. 127) and the conventional cell measures 5.600, 5.600 and 3.676 Å, with angles of 90.00, 90.00 and 90.00 degrees. Symmetry generates all atoms from Li at (0.000, 0.000, 0.000), Ag at (0.181, 0.319, 0.500) and H at (0.187, 0.313, 0.000).